The following is a PBE calculation of an optimized crystal structure of TePtSe2, from Alexandria via LeMat-Bulk.

The structure in CIF format:
```
data_TePtSe2
_cell_length_a 3.6476
_cell_length_b 3.6476
_cell_length_c 8.1362
_cell_angle_alpha 90.00
_cell_angle_beta 90.00
_cell_angle_gamma 90.00
_space_group_name_H-M_alt 'P 1'
_space_group_IT_number 1
loop_
_space_group_symop_operation_xyz
'x,y,z'
loop_
_atom_site_label
_atom_site_type_symbol
_atom_site_fract_x
_atom_site_fract_y
_atom_site_fract_z
_atom_site_occupancy
Te1 Te 0.0000 0.0000 0.0000 1
Pt1 Pt 0.5000 0.5000 0.8910 1
Se1 Se 0.0000 0.0000 0.4937 1
Se2 Se 0.5000 0.5000 0.5750 1
```

## Properties
formation energy without anion corrections	3.7	kJ/mol of atoms
Fermi-level density of states	1.65	states/eV/cell